[1]
Mg2UCdS6 | PBE-GGA | optimized geometry

```
Mg2UCdS6
1.0
-4.194 -4.990 0.478
2.194 -6.151 -0.277
0.034 -3.735 6.030
S U Cd Mg
6 1 1 2
Direct
0.399 0.729 0.753
0.729 0.120 0.753
0.926 0.592 0.248
0.592 0.234 0.248
0.234 0.926 0.248
0.120 0.399 0.753
0.326 0.326 0.023
0.813 0.813 0.562
0.517 0.517 0.450
0.007 0.007 0.979
```

Values from the calculation:
Space-group type ... R3
Spin magnetization ... 0.00 μB/cell
Formation energy without anion corrections ... -102.97 kJ per mole of atoms
Crystal system ... trigonal

[2]
YMgCd2S | PBE-GGA | optimized geometry

```
YMgCd2S
1.0
5.856 0.000 0.000
0.000 6.068 0.000
0.000 0.000 5.856
Y Cd S Mg
1 2 1 1
Direct
0.000 0.000 0.000
0.500 0.000 0.000
0.000 0.000 0.500
0.500 0.500 0.500
0.000 0.500 0.000
```

Values from the calculation:
Space-group type ... P4/mmm
Spin magnetization ... 0.00 μB/cell
Formation energy without anion corrections ... 91.56 kJ per mole of atoms
Crystal system ... tetragonal

[3]
Mg2CdSb | PBE-GGA | optimized geometry

```
Mg2CdSb
1.0
5.452 0.014 0.001
1.516 5.237 -0.001
-3.430 -2.697 3.269
Mg Cd Sb
2 1 1
Direct
0.500 0.500 0.000
0.000 0.000 0.000
0.250 0.750 0.500
0.750 0.250 0.500
```

Values from the calculation:
Space-group type ... Immm
Spin magnetization ... 0.00 μB/cell
Formation energy without anion corrections ... -10.59 kJ per mole of atoms
ΔE to the lowest computed polymorph ... 43 meV/atom
Crystal system ... orthorhombic

[4]
MgCd2Sb | PBE-GGA | optimized geometry

```
MgCd2Sb
1.0
4.652 0.000 0.000
2.326 4.029 0.000
2.326 1.343 5.616
Cd Sb Mg
2 1 1
Direct
0.073 0.073 0.781
0.261 0.261 0.218
0.494 0.494 0.519
0.673 0.673 0.982
```

Values from the calculation:
Space-group type ... R3m
Spin magnetization ... 0.00 μB/cell
Formation energy without anion corrections ... 3.35 kJ per mole of atoms
Crystal system ... trigonal

[5]
MgCdSb2 | PBE-GGA | optimized geometry

```
MgCdSb2
1.0
-1.519 2.578 2.604
-1.874 -2.356 1.239
4.948 -3.013 5.867
Sb Mg Cd
2 1 1
Direct
0.000 0.172 0.974
0.000 0.328 0.526
0.500 0.750 0.750
0.500 0.250 0.250
```

Values from the calculation:
Space-group type ... P2/m
Spin magnetization ... 0.00 μB/cell
Formation energy without anion corrections ... -2.94 kJ per mole of atoms
ΔE to the lowest computed polymorph ... 34 meV/atom
Crystal system ... monoclinic

[6]
MgCdSb2 | PBE-GGA | optimized geometry

```
MgCdSb2
1.0
0.000 3.696 3.696
3.696 0.000 3.696
3.696 3.696 0.000
Sb Cd Mg
2 1 1
Direct
0.750 0.750 0.750
0.250 0.250 0.250
0.500 0.500 0.500
0.000 0.000 0.000
```

Values from the calculation:
Space-group type ... Fm-3m
Spin magnetization ... 0.00 μB/cell
Formation energy without anion corrections ... 5.77 kJ per mole of atoms
ΔE to the lowest computed polymorph ... 124 meV/atom
Crystal system ... cubic

[7]
MgCd2Sb | PBE-GGA | optimized geometry

```
MgCd2Sb
1.0
-4.403 8.399 -2.187
-6.874 6.881 -0.331
-4.354 8.614 1.249
Cd Mg Sb
2 1 1
Direct
0.995 0.995 0.995
0.505 0.505 0.505
0.250 0.250 0.250
0.750 0.750 0.750
```

Values from the calculation:
Space-group type ... R-3m
Spin magnetization ... 0.00 μB/cell
Formation energy without anion corrections ... 0.75 kJ per mole of atoms
Crystal system ... trigonal

[8]
Mg2CdSb | PBE-GGA | optimized geometry

```
Mg2CdSb
1.0
3.764 0.000 0.000
0.000 4.242 0.000
0.000 0.000 6.018
Cd Sb Mg
1 1 2
Direct
0.500 0.500 0.779
0.000 0.000 0.471
0.000 0.000 0.976
0.500 0.500 0.274
```

Values from the calculation:
Space-group type ... Pmm2
Spin magnetization ... 0.00 μB/cell
Formation energy without anion corrections ... -8.19 kJ per mole of atoms
ΔE to the lowest computed polymorph ... 68 meV/atom
Crystal system ... orthorhombic

[9]
MgCd2Sb | PBE-GGA | optimized geometry

```
MgCd2Sb
1.0
3.219 0.000 0.000
0.000 3.219 0.000
0.000 0.000 9.299
Sb Cd Mg
1 2 1
Direct
0.500 0.500 0.750
0.000 0.000 0.022
0.000 0.000 0.478
0.500 0.500 0.250
```

Values from the calculation:
Space-group type ... P4/mmm
Spin magnetization ... 0.00 μB/cell
Formation energy without anion corrections ... 2.90 kJ per mole of atoms
Crystal system ... tetragonal

[10]
Mg4CdSb | PBE-GGA | optimized geometry

```
Mg4CdSb
1.0
0.000 4.151 4.151
4.151 0.000 4.151
4.151 4.151 0.000
Sb Cd Mg
1 1 4
Direct
0.750 0.750 0.750
0.000 0.000 0.000
0.375 0.375 0.375
0.375 0.375 0.874
0.874 0.375 0.375
0.375 0.874 0.375
```

Values from the calculation:
Space-group type ... F-43m
Spin magnetization ... 0.00 μB/cell
Formation energy without anion corrections ... 5.14 kJ per mole of atoms
Crystal system ... cubic

[11]
Mg2CdSb | PBE-GGA | optimized geometry

```
Mg2CdSb
1.0
5.396 -0.049 -0.025
-1.409 5.209 -0.025
0.013 0.017 3.300
Mg Sb Cd
2 1 1
Direct
0.500 0.500 0.000
0.000 0.000 0.000
0.500 0.000 0.500
0.000 0.500 0.500
```

Values from the calculation:
Space-group type ... Cmmm
Spin magnetization ... 0.00 μB/cell
Formation energy without anion corrections ... -12.67 kJ per mole of atoms
ΔE to the lowest computed polymorph ... 21 meV/atom
Crystal system ... orthorhombic

[12]
MgCdSb2 | PBE-GGA | optimized geometry

```
MgCdSb2
1.0
-5.275 4.288 1.504
-4.496 -4.590 -2.683
-5.421 -2.585 4.471
Sb Mg Cd
4 2 2
Direct
0.123 0.625 0.250
0.375 0.373 0.750
0.875 0.877 0.750
0.627 0.125 0.250
0.250 0.750 0.500
0.500 0.500 0.000
0.750 0.250 0.500
0.000 0.000 0.000
```

Values from the calculation:
Space-group type ... I-42d
Spin magnetization ... 0.00 μB/cell
Formation energy without anion corrections ... 11.46 kJ per mole of atoms
ΔE to the lowest computed polymorph ... 183 meV/atom
Crystal system ... tetragonal